P | VASP calculation (PBE) on a geometry-optimized NaAgBr structure.

a = 3.7621 Å, b = 3.8917 Å, c = 10.7764 Å
α = 90.00°, β = 99.67°, γ = 90.00°
Closest atoms and distances in Å follow each position.
Element x y z (fractional)
Na 0.0000 0.0000 0.0000  6 Br 2.89-3.18
Na 0.1727 0.5000 0.3482  4 Br 2.94, 1 Ag 3.13
Ag 0.3192 0.5000 0.6430  1 Br 2.78, 4 Ag 2.84
Ag 0.7798 0.0000 0.5613  4 Ag 2.84
Br 0.4538 0.5000 0.9045  1 Ag 2.78, 4 Na 2.89
Br 0.6210 0.0000 0.2406  6 Na 2.94-3.18

Computed properties:
SG ... No. 6
ρ ... 4.5 g/cm3


Q | VASP calculation (PBE) on a geometry-optimized NaAgBr structure.

a = 6.9882 Å, b = 6.9882 Å, c = 6.9882 Å
α = 146.27°, β = 72.87°, γ = 117.57°
Closest atoms and distances in Å follow each position.
Element x y z (fractional)
Na 0.1706 0.2500 0.4206  4 Br 2.94-3.05, 2 Ag 3.19
Na 0.8294 0.7500 0.5794  4 Br 2.94-3.05, 2 Ag 3.19
Ag 0.6104 0.9406 0.1698  2 Ag 2.71, 1 Br 2.84
Ag 0.7708 0.4406 0.8302  2 Ag 2.71, 1 Br 2.84
Br 0.1178 0.5435 0.0742  2 Ag 2.84-3.07, 4 Na 2.94-3.05
Br 0.4693 0.0435 0.9258  2 Ag 2.84-3.07, 4 Na 2.94-3.05

Computed properties:
SG ... No. 46
ρ ... 4.2 g/cm3


Verdict on stability: P comes out on top.


P | VASP calculation (PBE) on a geometry-optimized NaAgBr2 structure.

a = 5.1561 Å, b = 5.1561 Å, c = 3.6432 Å
α = 90.00°, β = 90.00°, γ = 90.00°
Closest atoms and distances in Å follow each position.
Element x y z (fractional)
Na 0.0000 0.0000 0.0000  8 Br 3.16
Ag 0.5000 0.5000 0.0000  8 Br 3.16
Br 0.0000 0.5000 0.5000  4 Na 3.16, 4 Ag 3.16
Br 0.5000 0.0000 0.5000  4 Na 3.16, 4 Ag 3.16

Computed properties:
SG ... No. 123
ρ ... 5.0 g/cm3


Q | VASP calculation (PBE) on a geometry-optimized NaAgBr2 structure.

a = 4.1831 Å, b = 4.1831 Å, c = 5.9070 Å
α = 90.00°, β = 90.00°, γ = 90.00°
Closest atoms and distances in Å follow each position.
Element x y z (fractional)
Na 0.0000 0.0000 0.0000  6 Br 2.95-2.96
Ag 0.5000 0.5000 0.5000  6 Br 2.95-2.96
Br 0.0000 0.0000 0.5000  2 Na 2.95, 4 Ag 2.96
Br 0.5000 0.5000 0.0000  2 Ag 2.95, 4 Na 2.96

Computed properties:
SG ... No. 123
ρ ... 4.7 g/cm3


R | VASP calculation (PBE) on a geometry-optimized NaAgBr2 structure.

a = 8.4071 Å, b = 8.4071 Å, c = 8.4071 Å
α = 31.05°, β = 31.05°, γ = 31.05°
Closest atoms and distances in Å follow each position.
Element x y z (fractional)
Na 0.0000 0.0000 0.0000  6 Br 3.01
Ag 0.5000 0.5000 0.5000  2 Br 2.48
Br 0.3966 0.3966 0.3966  1 Ag 2.48
Br 0.6034 0.6034 0.6034  1 Ag 2.48

Computed properties:
SG ... No. 166
ρ ... 3.4 g/cm3


S | VASP calculation (PBE) on a geometry-optimized NaAgBr2 structure.

a = 8.6318 Å, b = 8.6318 Å, c = 8.6318 Å
α = 29.53°, β = 29.53°, γ = 29.53°
Closest atoms and distances in Å follow each position.
Element x y z (fractional)
Na 0.0000 0.0000 0.0000  2 Br 2.64
Ag 0.5000 0.5000 0.5000  6 Br 2.94
Br 0.1066 0.1066 0.1066  1 Na 2.64, 3 Ag 2.94
Br 0.8934 0.8934 0.8934  1 Na 2.64, 3 Ag 2.94

Computed properties:
SG ... No. 166
ρ ... 3.5 g/cm3


Verdict on stability: Q comes out on top.


P | VASP calculation (PBE) on a geometry-optimized NaAgBr2 structure.

a = 5.1589 Å, b = 5.1589 Å, c = 5.1589 Å
α = 60.00°, β = 60.00°, γ = 60.00°
Closest atoms and distances in Å follow each position.
Element x y z (fractional)
Na 0.0000 0.0000 0.0000  8 Br 3.16
Ag 0.5000 0.5000 0.5000  8 Br 3.16
Br 0.2500 0.2500 0.2500  4 Na 3.16, 4 Ag 3.16
Br 0.7500 0.7500 0.7500  4 Na 3.16, 4 Ag 3.16

Computed properties:
SG ... No. 225
ρ ... 5.0 g/cm3


Q | VASP calculation (PBE) on a geometry-optimized NaAgBr2 structure.

a = 7.5139 Å, b = 7.5139 Å, c = 7.5139 Å
α = 32.12°, β = 32.12°, γ = 32.12°
Closest atoms and distances in Å follow each position.
Element x y z (fractional)
Na 0.0000 0.0000 0.0000  6 Br 3.04-3.06
Ag 0.8324 0.8324 0.8324  6 Br 2.92-2.93
Br 0.2442 0.2442 0.2442  3 Ag 2.93, 3 Na 3.06
Br 0.4209 0.4209 0.4209  3 Ag 2.92, 3 Na 3.04

Computed properties:
SG ... No. 160
ρ ... 4.5 g/cm3


R | VASP calculation (PBE) on a geometry-optimized NaAgBr2 structure.

a = 7.8773 Å, b = 7.8773 Å, c = 7.8773 Å
α = 131.37°, β = 131.37°, γ = 71.23°
Closest atoms and distances in Å follow each position.
Element x y z (fractional)
Na 0.0000 0.0000 0.0000  4 Br 2.86
Na 0.7500 0.2500 0.5000  4 Br 2.86
Ag 0.2500 0.7500 0.5000  4 Br 2.74
Ag 0.5000 0.5000 0.0000  4 Br 2.74
Br 0.1418 0.6250 0.0168  2 Ag 2.74, 2 Na 2.86
Br 0.3750 0.3918 0.5168  2 Ag 2.74, 2 Na 2.86
Br 0.6082 0.1250 0.9832  2 Ag 2.74, 2 Na 2.86
Br 0.8750 0.8582 0.4832  2 Ag 2.74, 2 Na 2.86

Computed properties:
SG ... No. 122
ρ ... 3.6 g/cm3


S | VASP calculation (PBE) on a geometry-optimized NaAgBr2 structure.

a = 4.5749 Å, b = 4.5749 Å, c = 7.8629 Å
α = 107.07°, β = 107.07°, γ = 59.87°
Closest atoms and distances in Å follow each position.
Element x y z (fractional)
Na 0.0000 0.0000 0.0000  4 Br 2.81-2.88
Ag 0.5000 0.5000 0.5002  4 Br 2.73-2.76
Br 0.3768 0.3768 0.1308  1 Ag 2.73, 3 Na 2.81
Br 0.8700 0.8700 0.6106  3 Ag 2.76, 1 Na 2.88

Computed properties:
SG ... No. 8
ρ ... 3.6 g/cm3


Verdict on stability: R comes out on top.


P | VASP calculation (PBE) on a geometry-optimized Na3AgBr4 structure.

a = 9.9451 Å, b = 8.6425 Å, c = 6.0026 Å
α = 90.00°, β = 90.00°, γ = 90.00°
Closest atoms and distances in Å follow each position.
Element x y z (fractional)
Na 0.0000 0.1560 0.0000  5 Br 2.85-3.00
Na 0.2478 0.3316 0.5001  5 Br 2.85-3.00
Na 0.2522 0.6684 0.0001  5 Br 2.85-3.00
Na 0.5000 0.8440 0.5000  5 Br 2.85-3.00
Na 0.7478 0.6684 0.0001  5 Br 2.85-3.00
Na 0.7522 0.3316 0.5001  5 Br 2.85-3.00
Ag 0.0000 0.8275 0.4991  5 Br 2.79-3.00
Ag 0.5000 0.1725 0.9991  5 Br 2.79-3.00
Br 0.0000 0.1512 0.4998  1 Ag 2.80, 4 Na 2.92-3.00
Br 0.0000 0.8260 0.9995  3 Na 2.85, 2 Ag 3.00
Br 0.2453 0.6704 0.4999  1 Ag 2.79, 4 Na 2.93-3.00
Br 0.2547 0.3296 0.9999  1 Ag 2.79, 4 Na 2.93-3.00
Br 0.5000 0.1740 0.4995  3 Na 2.85, 2 Ag 3.00
Br 0.5000 0.8488 0.9998  1 Ag 2.80, 4 Na 2.92-3.00
Br 0.7453 0.3296 0.9999  1 Ag 2.79, 4 Na 2.93-3.00
Br 0.7547 0.6704 0.4999  1 Ag 2.79, 4 Na 2.93-3.00

Computed properties:
SG ... No. 31
ρ ... 3.2 g/cm3


Q | VASP calculation (PBE) on a geometry-optimized Na3AgBr4 structure.

a = 5.9655 Å, b = 5.9655 Å, c = 5.9655 Å
α = 90.00°, β = 90.00°, γ = 90.00°
Closest atoms and distances in Å follow each position.
Element x y z (fractional)
Na 0.0000 0.0000 0.5000  6 Br 2.98
Na 0.0000 0.5000 0.0000  6 Br 2.98
Na 0.5000 0.0000 0.0000  6 Br 2.98
Ag 0.5000 0.5000 0.5000  6 Br 2.98
Br 0.0000 0.0000 0.0000  6 Na 2.98
Br 0.0000 0.5000 0.5000  4 Na 2.98, 2 Ag 2.98
Br 0.5000 0.0000 0.5000  4 Na 2.98, 2 Ag 2.98
Br 0.5000 0.5000 0.0000  4 Na 2.98, 2 Ag 2.98

Computed properties:
SG ... No. 221
ρ ... 3.9 g/cm3


Verdict on stability: Q comes out on top.


P | VASP calculation (PBE) on a geometry-optimized NaAg2Br4 structure.

a = 8.2899 Å, b = 8.2899 Å, c = 8.2899 Å
α = 118.20°, β = 118.19°, γ = 93.16°
Closest atoms and distances in Å follow each position.
Element x y z (fractional)
Na 0.0000 0.0000 0.0000  6 Br 2.93-2.96
Na 0.5000 0.0000 0.5000  6 Br 2.93-2.96
Ag 0.0000 0.0000 0.5000  6 Br 2.64-2.92
Ag 0.0000 0.5000 0.0000  6 Br 2.64-2.92
Ag 0.3668 0.6168 0.7500  4 Br 2.67-2.70
Ag 0.6332 0.3832 0.2500  4 Br 2.67-2.70
Br 0.2281 0.7429 0.4852  3 Ag 2.67-2.92, 1 Na 2.93
Br 0.2316 0.2213 0.4897  2 Ag 2.64-2.70, 2 Na 2.96
Br 0.2316 0.7420 0.0103  2 Ag 2.64-2.70, 2 Na 2.96
Br 0.2422 0.2571 0.9852  3 Ag 2.67-2.92, 1 Na 2.93
Br 0.7578 0.7429 0.0148  3 Ag 2.67-2.92, 1 Na 2.93
Br 0.7684 0.2580 0.9897  2 Ag 2.64-2.70, 2 Na 2.96
Br 0.7684 0.7787 0.5103  2 Ag 2.64-2.70, 2 Na 2.96
Br 0.7719 0.2571 0.5148  3 Ag 2.67-2.92, 1 Na 2.93

Computed properties:
SG ... No. 74
ρ ... 4.5 g/cm3


Q | VASP calculation (PBE) on a geometry-optimized NaAg2Br4 structure.

a = 5.8742 Å, b = 5.8742 Å, c = 6.9516 Å
α = 90.00°, β = 90.00°, γ = 90.00°
Closest atoms and distances in Å follow each position.
Element x y z (fractional)
Na 0.0000 0.0000 0.0000  4 Br 2.87
Ag 0.0000 0.5000 0.5000  4 Br 2.66
Ag 0.5000 0.0000 0.5000  4 Br 2.66
Br 0.2669 0.2669 0.2621  2 Ag 2.66, 1 Na 2.87
Br 0.2669 0.7331 0.7379  2 Ag 2.66, 1 Na 2.87
Br 0.7331 0.2669 0.7379  2 Ag 2.66, 1 Na 2.87
Br 0.7331 0.7331 0.2621  2 Ag 2.66, 1 Na 2.87

Computed properties:
SG ... No. 111
ρ ... 3.9 g/cm3


Verdict on stability: P comes out on top.


P | VASP calculation (PBE) on a geometry-optimized NaAg3Br structure.

a = 5.1688 Å, b = 5.1688 Å, c = 5.1688 Å
α = 90.00°, β = 90.00°, γ = 90.00°
Closest atoms and distances in Å follow each position.
Element x y z (fractional)
Na 0.0000 0.0000 0.0000  6 Ag 2.58
Ag 0.0000 0.0000 0.5000  2 Na 2.58
Ag 0.0000 0.5000 0.0000  2 Na 2.58
Ag 0.5000 0.0000 0.0000  2 Na 2.58
Br 0.5000 0.5000 0.5000  12 Ag 3.65

Computed properties:
SG ... No. 221
ρ ... 5.1 g/cm3


Q | VASP calculation (PBE) on a geometry-optimized NaAg3Br structure.

a = 5.3796 Å, b = 5.3796 Å, c = 5.3796 Å
α = 90.00°, β = 90.00°, γ = 90.00°
Closest atoms and distances in Å follow each position.
Element x y z (fractional)
Na 0.0000 0.0000 0.0000  12 Ag 3.80
Ag 0.0000 0.5000 0.5000  2 Br 2.69
Ag 0.5000 0.0000 0.5000  2 Br 2.69
Ag 0.5000 0.5000 0.0000  2 Br 2.69
Br 0.5000 0.5000 0.5000  6 Ag 2.69

Computed properties:
SG ... No. 221
ρ ... 4.5 g/cm3


Verdict on stability: Q comes out on top.


P | VASP calculation (PBE) on a geometry-optimized Na2AgBrO structure.

a = 8.4466 Å, b = 8.4466 Å, c = 6.8589 Å
α = 90.00°, β = 90.00°, γ = 154.96°
Closest atoms and distances in Å follow each position.
Element x y z (fractional)
Na 0.1332 0.8668 0.5052  1 O 2.20
Na 0.1332 0.8668 0.9948  1 O 2.20
Na 0.8668 0.1332 0.0052  1 O 2.20
Na 0.8668 0.1332 0.4948  1 O 2.20
Ag 0.4979 0.5021 0.7500  4 O 2.51
Ag 0.5021 0.4979 0.2500  4 O 2.51
Br 0.2748 0.7252 0.2500  6 Na 2.91-2.92
Br 0.7252 0.2748 0.7500  6 Na 2.91-2.92
O 0.0000 0.0000 0.0000  2 Na 2.20
O 0.0000 0.0000 0.5000  2 Na 2.20

Computed properties:
SG ... No. 63
ρ ... 4.0 g/cm3


Q | VASP calculation (PBE) on a geometry-optimized Na2AgBrO structure.

a = 4.8295 Å, b = 4.8295 Å, c = 4.2395 Å
α = 90.00°, β = 90.00°, γ = 90.00°
Closest atoms and distances in Å follow each position.
Element x y z (fractional)
Na 0.0000 0.5000 0.0000  2 O 2.41
Na 0.5000 0.0000 0.0000  2 O 2.41
Ag 0.0000 0.0000 0.5000  2 O 2.12
Br 0.5000 0.5000 0.5000  8 Na 3.21, 4 Ag 3.41
O 0.0000 0.0000 0.0000  2 Ag 2.12

Computed properties:
SG ... No. 123
ρ ... 4.2 g/cm3


Verdict on stability: Q comes out on top.


P | VASP calculation (PBE) on a geometry-optimized NaAgSe2Br structure.

a = 5.3465 Å, b = 5.3465 Å, c = 5.3682 Å
α = 90.00°, β = 90.00°, γ = 90.00°
Closest atoms and distances in Å follow each position.
Element x y z (fractional)
Na 0.0000 0.0000 0.0000  4 Se 2.67, 2 Br 2.68
Ag 0.5000 0.5000 0.5000  4 Br 3.78, 8 Se 3.79
Se 0.0000 0.5000 0.0000  2 Na 2.67
Se 0.5000 0.0000 0.0000  2 Na 2.67
Br 0.0000 0.0000 0.5000  2 Na 2.68

Computed properties:
SG ... No. 123
ρ ... 4.0 g/cm3


Q | VASP calculation (PBE) on a geometry-optimized NaAgSe2Br structure.

a = 5.0894 Å, b = 5.0894 Å, c = 5.6074 Å
α = 90.00°, β = 90.00°, γ = 90.00°
Closest atoms and distances in Å follow each position.
Element x y z (fractional)
Na 0.0000 0.0000 0.0000  4 Br 3.60, 8 Se 3.79
Ag 0.5000 0.5000 0.5000  4 Se 2.54, 2 Br 2.80
Se 0.0000 0.5000 0.5000  2 Ag 2.54
Se 0.5000 0.0000 0.5000  2 Ag 2.54
Br 0.5000 0.5000 0.0000  2 Ag 2.80

Computed properties:
SG ... No. 123
ρ ... 4.2 g/cm3


R | VASP calculation (PBE) on a geometry-optimized NaAgSe2Br structure.

a = 4.9525 Å, b = 4.9525 Å, c = 6.6981 Å
α = 90.00°, β = 90.00°, γ = 90.00°
Closest atoms and distances in Å follow each position.
Element x y z (fractional)
Na 0.0000 0.0000 0.0000  4 Se 2.48
Ag 0.0000 0.0000 0.5000  2 Na 3.35, 4 Br 3.50
Se 0.0000 0.5000 0.0000  2 Na 2.48
Se 0.5000 0.0000 0.0000  2 Na 2.48
Br 0.5000 0.5000 0.5000  4 Ag 3.50

Computed properties:
SG ... No. 123
ρ ... 3.7 g/cm3


Verdict on stability: Q comes out on top.


P | VASP calculation (PBE) on a geometry-optimized NaAgSeBr2 structure.

a = 5.4749 Å, b = 5.4749 Å, c = 5.3604 Å
α = 90.00°, β = 90.00°, γ = 90.00°
Closest atoms and distances in Å follow each position.
Element x y z (fractional)
Na 0.0000 0.0000 0.0000  2 Se 2.68, 4 Br 2.74
Ag 0.5000 0.5000 0.5000  8 Br 3.83, 4 Se 3.87
Se 0.0000 0.0000 0.5000  2 Na 2.68
Br 0.0000 0.5000 0.0000  2 Na 2.74
Br 0.5000 0.0000 0.0000  2 Na 2.74

Computed properties:
SG ... No. 123
ρ ... 3.8 g/cm3


Q | VASP calculation (PBE) on a geometry-optimized NaAgSeBr2 structure.

a = 5.5070 Å, b = 5.5070 Å, c = 5.0942 Å
α = 90.00°, β = 90.00°, γ = 90.00°
Closest atoms and distances in Å follow each position.
Element x y z (fractional)
Na 0.0000 0.0000 0.0000  8 Br 3.75, 4 Se 3.89
Ag 0.5000 0.5000 0.5000  2 Se 2.55, 4 Br 2.75
Se 0.5000 0.5000 0.0000  2 Ag 2.55
Br 0.0000 0.5000 0.5000  2 Ag 2.75
Br 0.5000 0.0000 0.5000  2 Ag 2.75

Computed properties:
SG ... No. 123
ρ ... 4.0 g/cm3


Verdict on stability: Q comes out on top.


P | VASP calculation (PBE) on a geometry-optimized NbAgBr2 structure.

a = 7.1505 Å, b = 7.1505 Å, c = 7.1505 Å
α = 98.93°, β = 98.93°, γ = 133.58°
Closest atoms and distances in Å follow each position.
Element x y z (fractional)
Nb 0.0000 0.0000 0.0000  4 Br 2.62, 2 Ag 2.82
Nb 0.7500 0.2500 0.5000  4 Br 2.62, 2 Ag 2.82
Ag 0.2500 0.7500 0.5000  2 Nb 2.82
Ag 0.5000 0.5000 0.0000  2 Nb 2.82
Br 0.3750 0.2312 0.3562  2 Nb 2.62
Br 0.7688 0.1250 0.1438  2 Nb 2.62
Br 0.8750 0.0188 0.6438  2 Nb 2.62
Br 0.9812 0.6250 0.8562  2 Nb 2.62

Computed properties:
SG ... No. 122
ρ ... 4.9 g/cm3


Q | VASP calculation (PBE) on a geometry-optimized NbAgBr2 structure.

a = 4.8405 Å, b = 4.8405 Å, c = 4.8405 Å
α = 60.00°, β = 60.00°, γ = 60.00°
Closest atoms and distances in Å follow each position.
Element x y z (fractional)
Nb 0.0000 0.0000 0.0000  8 Br 2.96
Ag 0.5000 0.5000 0.5000  8 Br 2.96
Br 0.2500 0.2500 0.2500  4 Ag 2.96, 4 Nb 2.96
Br 0.7500 0.7500 0.7500  4 Ag 2.96, 4 Nb 2.96

Computed properties:
SG ... No. 225
ρ ... 7.5 g/cm3


Verdict on stability: P comes out on top.


P | VASP calculation (PBE) on a geometry-optimized NbAgBr2 structure.

a = 9.3770 Å, b = 9.3770 Å, c = 9.3770 Å
α = 21.13°, β = 21.13°, γ = 21.13°
Closest atoms and distances in Å follow each position.
Element x y z (fractional)
Nb 0.0000 0.0000 0.0000  2 Br 2.54
Ag 0.5000 0.5000 0.5000  6 Br 2.85
Br 0.0924 0.0924 0.0924  1 Nb 2.54
Br 0.9076 0.9076 0.9076  1 Nb 2.54

Computed properties:
SG ... No. 166
ρ ... 6.4 g/cm3


Q | VASP calculation (PBE) on a geometry-optimized NbAgBr2 structure.

a = 11.3176 Å, b = 11.3176 Å, c = 11.3176 Å
α = 16.63°, β = 16.63°, γ = 16.63°
Closest atoms and distances in Å follow each position.
Element x y z (fractional)
Nb 0.0000 0.0000 0.0000  6 Br 2.69
Ag 0.5000 0.5000 0.5000  6 Ag 3.27
Br 0.3903 0.3903 0.3903  3 Nb 2.69
Br 0.6097 0.6097 0.6097  3 Nb 2.69

Computed properties:
SG ... No. 166
ρ ... 5.8 g/cm3


Verdict on stability: Q comes out on top.